Density functional theory data (PBE) for a relaxed structure of Rb2SrRhI6.

Computed properties:
Formation energy from raw total energies (eV per atom): -1.016
DFT total energy (eV per atom): -3.0427

Lattice parameters (Å, degrees): 8.5029 8.5029 8.4683 59.86 59.86 90.00
Sites, in units of the cell vectors:
I1 0.2297 0.2297 0.5405
I2 0.7703 0.7703 0.4595
I3 0.2323 0.2323 0.0000
I4 0.7677 0.7677 0.0000
I5 0.7677 0.2323 0.0000
I6 0.2323 0.7677 0.0000
Sr1 0.5000 0.5000 0.0000
Rh1 0.0000 0.0000 0.0000
Rb1 0.7500 0.2500 0.5000
Rb2 0.2500 0.7500 0.5000

Density functional theory data (PBE) for a relaxed structure of Rb2TaRhI6.

Computed properties:
Formation energy from raw total energies (eV per atom): -0.493
DFT total energy (eV per atom): -3.5366

Lattice parameters (Å, degrees): 8.1048 8.1048 8.0687 59.85 59.85 90.00
Sites, in units of the cell vectors:
I1 0.2504 0.2504 0.4992
I2 0.7496 0.7496 0.5008
I3 0.2489 0.2489 0.0000
I4 0.7511 0.7511 0.0000
I5 0.7511 0.2489 0.0000
I6 0.2489 0.7511 0.0000
Rh1 0.5000 0.5000 0.0000
Rb1 0.7500 0.2500 0.5000
Rb2 0.2500 0.7500 0.5000
Ta1 0.0000 0.0000 0.0000

Density functional theory data (PBE) for a relaxed structure of Rb2TcRhI6.

Computed properties:
Formation energy from raw total energies (eV per atom): -0.461
DFT total energy (eV per atom): -3.3563

Lattice parameters (Å, degrees): 8.0216 8.0216 8.0131 59.96 59.96 90.00
Sites, in units of the cell vectors:
I1 0.2473 0.2473 0.5054
I2 0.7527 0.7527 0.4946
I3 0.2477 0.2477 0.0000
I4 0.7523 0.7523 0.0000
I5 0.7523 0.2477 0.0000
I6 0.2477 0.7523 0.0000
Rh1 0.0000 0.0000 0.0000
Tc1 0.5000 0.5000 0.0000
Rb1 0.7500 0.2500 0.5000
Rb2 0.2500 0.7500 0.5000

Density functional theory data (PBE) for a relaxed structure of RbTe2RhI.

Computed properties:
Formation energy from raw total energies (eV per atom): -0.300
DFT total energy (eV per atom): -3.5306
ΔE to the lowest computed polymorph (meV per atom): 0

Lattice parameters (Å, degrees): 5.2847 5.2847 5.9565 90.00 90.00 90.00
Sites, in units of the cell vectors:
I1 0.0000 0.0000 0.5000
Te1 0.0000 0.5000 0.0000
Te2 0.5000 0.0000 0.0000
Rh1 0.0000 0.0000 0.0000
Rb1 0.5000 0.5000 0.5000

Density functional theory data (PBE) for a relaxed structure of RbTe2RhI.

Computed properties:
Formation energy from raw total energies (eV per atom): 1.315
DFT total energy (eV per atom): -1.9159
ΔE to the lowest computed polymorph (meV per atom): 1615

Lattice parameters (Å, degrees): 6.6675 6.6675 6.6618 90.00 90.00 90.00
Sites, in units of the cell vectors:
I1 0.0000 0.0000 0.5000
Te1 0.0000 0.5000 0.0000
Te2 0.5000 0.0000 0.0000
Rh1 0.5000 0.5000 0.5000
Rb1 0.0000 0.0000 0.0000

Density functional theory data (PBE) for a relaxed structure of Rb2TlRhI6.

Computed properties:
Formation energy from raw total energies (eV per atom): -0.786
DFT total energy (eV per atom): -2.8810

Lattice parameters (Å, degrees): 8.6738 8.6714 8.2012 58.04 58.07 59.98
Sites, in units of the cell vectors:
Rb1 0.5644 0.5643 0.3071
Rb2 0.0678 0.0679 0.7964
Tl1 0.8162 0.8162 0.5513
Rh1 0.3162 0.3162 0.0515
I1 0.5208 0.1644 0.2920
I2 0.1641 0.0229 0.2923
I3 0.0229 0.5215 0.2914
I4 0.4684 0.6094 0.8107
I5 0.6094 0.1108 0.8115
I6 0.1115 0.4681 0.8109